First-principles (PBE) data for a geometry-optimized Ce2PmHoN4 structure, as listed in the Alexandria database.

Its density of states at the Fermi level is 4.574 states/eV per cell. The calculation puts the magnetic moment at 0.4 μB per formula unit. For the raw total energy, the calculation gives -8.35 eV per atom. As for the raw formation energy: -12.33 eV/f.u.

The space group is P2/m (No. 10) and the conventional cell measures 6.141, 3.550 and 6.155 Å, with angles of 90.00, 109.48 and 90.00 degrees. The inequivalent atoms are Ce at (0.000, 0.000, 0.000), Ce at (0.000, 0.500, 0.500), Pm at (0.500, 0.000, 0.500), Ho at (0.500, 0.500, 0.000), N at (0.243, 0.500, 0.241) and N at (0.249, 0.000, 0.756).